Entry 1:
First-principles (GGA-PBE) data for Al3Zn2Cu8 after structural relaxation, as listed in Alexandria via LeMat-Bulk.

```
13
Lattice="-0.8804 3.4333 -1.9160 -4.1911 -4.1983 -5.5971 -2.7908 2.5780 5.9017" Properties=species:S:1:pos:R:3 pbc="T T T"
Al -0.4402 1.7166 -0.9580
Al -3.8133 1.5342 4.5011
Al -3.1685 -3.1544 -4.1965
Zn -2.9628 1.9436 0.6078
Zn -4.8994 -0.1306 -2.2191
Cu -3.2371 -1.9598 -2.0244
Cu -4.6251 3.7729 0.4130
Cu -2.2026 3.5828 -1.0406
Cu -5.6596 -1.7698 -0.5708
Cu -5.1270 1.0388 -0.0192
Cu -2.9637 3.1263 2.7273
Cu -4.8985 -1.3132 -4.3387
Cu -2.7352 0.7743 -1.5921
```

Results
- DFT formation energy: 7.39 kJ/mol of atoms
- Space group: P2/m
- DFT total energy: -3.504 eV/atom
- V: 191 Å³ per cell
- Relative energy among the computed polymorphs: 113 kJ/mol of formula units


Entry 2:
First-principles (GGA-PBE) data for Al5ZnCu after structural relaxation, as listed in Alexandria via LeMat-Bulk.

```
7
Lattice="4.6696 0.0000 0.0000 0.0000 7.4194 0.0000 -2.3348 -3.7097 4.4107" Properties=species:S:1:pos:R:3 pbc="T T T"
Al 0.7367 0.0000 2.0928
Al 4.5979 3.7097 0.0000
Al 3.0715 3.7097 2.3179
Al 1.9883 6.1283 0.0000
Al 1.9883 1.2911 0.0000
Zn 2.2451 3.7097 0.0000
Cu 4.1941 0.0000 0.0000
```

Results
- DFT formation energy: 47.00 kJ/mol of atoms
- Space group: Imm2
- DFT total energy: -2.953 eV/atom
- V: 153 Å³ per cell


Entry 3:
First-principles (GGA-PBE) data for Al2ZnCu after structural relaxation, as listed in Alexandria via LeMat-Bulk.

```
4
Lattice="4.7292 -0.0386 0.0000 -1.4635 4.4972 0.0000 0.0000 0.0000 2.7880" Properties=species:S:1:pos:R:3 pbc="T T T"
Zn -0.7318 2.2486 1.3940
Al 0.0000 0.0000 0.0000
Al 1.6328 2.2293 0.0000
Cu 2.3646 -0.0193 1.3940
```

Results
- DFT formation energy: -2.23 kJ/mol of atoms
- Space group: Cmmm
- DFT total energy: -3.237 eV/atom
- V: 59 Å³ per cell